No. 1
# TmPbAuSe2S

A geometry-optimized TmPbAuSe2S structure (PBE, OQMD via LeMat-Bulk).

a = 7.1644 Å, b = 7.1644 Å, c = 10.2694 Å
α = 90.00°, β = 90.00°, γ = 146.92°
Closest atoms and distances in Å follow each position.
Fractional coordinates of all 12 atoms:
Tm  0.0000  0.0000  0.0000  2 S 2.81, 4 Se 2.89
Tm  0.0000  0.0000  0.5000  2 S 2.81, 4 Se 2.89
Pb  0.2504  0.7496  0.7500  2 S 3.07, 6 Se 3.25-3.37
Pb  0.7496  0.2504  0.2500  2 S 3.07, 6 Se 3.25-3.37
Au  0.4686  0.5314  0.2500  2 S 2.57, 2 Se 2.60
Au  0.5314  0.4686  0.7500  2 S 2.57, 2 Se 2.60
Se  0.3547  0.6453  0.0475  1 Au 2.60, 2 Tm 2.89
Se  0.3547  0.6453  0.4525  1 Au 2.60, 2 Tm 2.89
Se  0.6453  0.3547  0.5475  1 Au 2.60, 2 Tm 2.89
Se  0.6453  0.3547  0.9525  1 Au 2.60, 2 Tm 2.89
S  0.0830  0.9170  0.2500  2 Au 2.57, 2 Tm 2.81
S  0.9170  0.0830  0.7500  2 Au 2.57, 2 Tm 2.81

## Properties
Spin magnetization ... 0.0 μB per formula unit
Space group ... Cmcm (63)
E ... -56.2 eV/cell

No. 2
# YPbAuSe2S

A geometry-optimized YPbAuSe2S structure (PBE, OQMD via LeMat-Bulk).

a = 7.1672 Å, b = 7.1672 Å, c = 10.3793 Å
α = 90.00°, β = 90.00°, γ = 146.72°
Closest atoms and distances in Å follow each position.
Fractional coordinates of all 12 atoms:
Y  0.0000  0.0000  0.0000  2 S 2.84, 4 Se 2.93
Y  0.0000  0.0000  0.5000  2 S 2.84, 4 Se 2.93
Pb  0.2511  0.7489  0.7500  2 S 3.06, 6 Se 3.24-3.42
Pb  0.7489  0.2511  0.2500  2 S 3.06, 6 Se 3.24-3.42
Au  0.4687  0.5313  0.2500  2 S 2.59, 2 Se 2.61
Au  0.5313  0.4687  0.7500  2 S 2.59, 2 Se 2.61
Se  0.3529  0.6471  0.0508  1 Au 2.61
Se  0.3529  0.6471  0.4492  1 Au 2.61
Se  0.6471  0.3529  0.5508  1 Au 2.61
Se  0.6471  0.3529  0.9492  1 Au 2.61
S  0.0835  0.9165  0.2500  2 Au 2.59, 2 Y 2.84
S  0.9165  0.0835  0.7500  2 Au 2.59, 2 Y 2.84

## Properties
Spin magnetization ... 0.0 μB per formula unit
Space group ... Cmcm (63)
E ... -60.4 eV/cell

No. 3
# YPbAuSeS2

A geometry-optimized YPbAuSeS2 structure (PBE, OQMD via LeMat-Bulk).

a = 7.0141 Å, b = 7.0141 Å, c = 10.7968 Å
α = 90.00°, β = 90.00°, γ = 146.46°
Closest atoms and distances in Å follow each position.
Fractional coordinates of all 12 atoms:
Y  0.0000  0.0000  0.0000  4 S 2.77, 2 Se 2.96
Y  0.0000  0.0000  0.5000  4 S 2.77, 2 Se 2.96
Pb  0.2436  0.7564  0.7500  2 Se 3.02, 2 Au 3.20, 4 S 3.32
Pb  0.7564  0.2436  0.2500  2 Se 3.02, 2 Au 3.20, 4 S 3.32
Au  0.4407  0.5593  0.2500  2 S 2.42
Au  0.5593  0.4407  0.7500  2 S 2.42
Se  0.0895  0.9105  0.2500  2 Au 2.84, 2 Y 2.96, 2 Pb 3.02
Se  0.9105  0.0895  0.7500  2 Au 2.84, 2 Y 2.96, 2 Pb 3.02
S  0.3642  0.6358  0.0467  1 Au 2.42
S  0.3642  0.6358  0.4533  1 Au 2.42
S  0.6358  0.3642  0.5467  1 Au 2.42
S  0.6358  0.3642  0.9533  1 Au 2.42

## Properties
Spin magnetization ... 0.0 μB per formula unit
Space group ... Cmcm (63)
E ... -61.8 eV/cell

No. 4
# SmPbAuS3

A geometry-optimized SmPbAuS3 structure (PBE, OQMD via LeMat-Bulk).

a = 6.9647 Å, b = 6.9647 Å, c = 10.5307 Å
α = 90.00°, β = 90.00°, γ = 146.31°
Closest atoms and distances in Å follow each position.
Fractional coordinates of all 12 atoms:
Sm  0.0000  0.0000  0.0000  6 S 2.84-2.90
Sm  0.0000  0.0000  0.5000  6 S 2.84-2.90
Pb  0.2398  0.7602  0.7500  6 S 3.03-3.13
Pb  0.7602  0.2398  0.2500  6 S 3.03-3.13
Au  0.4674  0.5326  0.2500  4 S 2.49-2.61
Au  0.5326  0.4674  0.7500  4 S 2.49-2.61
S  0.0911  0.9089  0.2500  2 Au 2.61, 2 Sm 2.90
S  0.3574  0.6426  0.0584  1 Au 2.49
S  0.3574  0.6426  0.4416  1 Au 2.49
S  0.6426  0.3574  0.5584  1 Au 2.49
S  0.6426  0.3574  0.9416  1 Au 2.49
S  0.9089  0.0911  0.7500  2 Au 2.61, 2 Sm 2.90

## Properties
Spin magnetization ... 0.0 μB per formula unit
Space group ... Cmcm (63)
E ... -59.8 eV/cell
ΔE to the lowest computed polymorph ... 0 meV/atom

No. 5
# SmPbAuS3

A geometry-optimized SmPbAuS3 structure (PBE, OQMD via LeMat-Bulk).

a = 7.6840 Å, b = 4.0610 Å, c = 9.8564 Å
α = 90.00°, β = 106.17°, γ = 90.00°
Closest atoms and distances in Å follow each position.
Fractional coordinates of all 12 atoms:
Sm  0.1979  0.2500  0.1626  6 S 2.79-2.90
Sm  0.8020  0.7500  0.8374  6 S 2.79-2.90
Pb  0.2256  0.7500  0.7027  7 S 3.04-3.13, 1 Au 3.27
Pb  0.7744  0.2500  0.2973  7 S 3.04-3.13, 1 Au 3.27
Au  0.3661  0.7500  0.4183  3 S 2.53-2.55
Au  0.6339  0.2500  0.5817  3 S 2.53-2.55
S  0.0729  0.2500  0.8682  3 Sm 2.79-2.86, 2 Pb 3.04
S  0.1835  0.2500  0.4537  2 Au 2.55
S  0.4567  0.7500  0.1904  1 Au 2.53, 2 Sm 2.80
S  0.5433  0.2500  0.8096  1 Au 2.53, 2 Sm 2.80
S  0.8165  0.7500  0.5463  2 Au 2.55
S  0.9271  0.7500  0.1318  3 Sm 2.79-2.86, 2 Pb 3.04

## Properties
Spin magnetization ... 0.0 μB per formula unit
Space group ... P2_1/m (11)
E ... -59.8 eV/cell
ΔE to the lowest computed polymorph ... 0 meV/atom

No. 6
# SmPbAuS3

A geometry-optimized SmPbAuS3 structure (PBE, OQMD via LeMat-Bulk).

a = 13.5129 Å, b = 4.0450 Å, c = 10.7372 Å
α = 90.00°, β = 90.00°, γ = 90.00°
Closest atoms and distances in Å follow each position.
Fractional coordinates of all 24 atoms:
Sm  0.0098  0.2500  0.1731  6 S 2.81-2.83
Sm  0.4902  0.7500  0.6731  6 S 2.81-2.83
Sm  0.5098  0.2500  0.3269  6 S 2.81-2.83
Sm  0.9902  0.7500  0.8269  6 S 2.81-2.83
Pb  0.2263  0.2500  0.4455  6 S 3.04-3.12, 1 Au 3.21
Pb  0.2737  0.7500  0.9455  6 S 3.04-3.12, 1 Au 3.21
Pb  0.7263  0.2500  0.0545  6 S 3.04-3.12, 1 Au 3.21
Pb  0.7737  0.7500  0.5545  6 S 3.04-3.12, 1 Au 3.21
Au  0.0210  0.2500  0.5967  3 S 2.54-2.57
Au  0.4790  0.7500  0.0967  3 S 2.54-2.57
Au  0.5210  0.2500  0.9033  3 S 2.54-2.57
Au  0.9790  0.7500  0.4033  3 S 2.54-2.57
S  0.1056  0.2500  0.9413  3 Sm 2.81-2.83, 2 Pb 3.04
S  0.1309  0.7500  0.6312  2 Au 2.54, 1 Sm 2.83
S  0.1353  0.7500  0.2668  1 Au 2.57, 2 Sm 2.83
S  0.3647  0.2500  0.7668  1 Au 2.57, 2 Sm 2.83
S  0.3691  0.2500  0.1312  2 Au 2.54, 1 Sm 2.83
S  0.3944  0.7500  0.4413  3 Sm 2.81-2.83, 2 Pb 3.04
S  0.6056  0.2500  0.5587  3 Sm 2.81-2.83, 2 Pb 3.04
S  0.6309  0.7500  0.8688  2 Au 2.54, 1 Sm 2.83
S  0.6353  0.7500  0.2332  1 Au 2.57, 2 Sm 2.83
S  0.8647  0.2500  0.7332  1 Au 2.57, 2 Sm 2.83
S  0.8691  0.2500  0.3688  2 Au 2.54, 1 Sm 2.83
S  0.8944  0.7500  0.0587  3 Sm 2.81-2.83, 2 Pb 3.04

## Properties
Spin magnetization ... 0.0 μB per formula unit
Space group ... Pnma (62)
E ... -119.3 eV/cell
ΔE to the lowest computed polymorph ... 7 meV/atom

No. 7
# TlTe2PbAuS

A geometry-optimized TlTe2PbAuS structure (PBE, OQMD via LeMat-Bulk).

a = 7.0180 Å, b = 7.0180 Å, c = 11.8958 Å
α = 90.00°, β = 90.00°, γ = 142.98°
Closest atoms and distances in Å follow each position.
Fractional coordinates of all 12 atoms:
Tl  0.2172  0.7828  0.7500  2 S 3.31, 1 Au 3.42, 6 Te 3.59-3.63
Tl  0.7828  0.2172  0.2500  2 S 3.31, 1 Au 3.42, 6 Te 3.59-3.63
Te  0.1670  0.8330  0.0464  1 Au 2.96, 2 Pb 3.20
Te  0.1670  0.8330  0.4536  1 Au 2.96, 2 Pb 3.20
Te  0.8330  0.1670  0.5464  1 Au 2.96, 2 Pb 3.20
Te  0.8330  0.1670  0.9536  1 Au 2.96, 2 Pb 3.20
Pb  0.5000  0.5000  0.0000  2 S 3.01, 4 Te 3.20
Pb  0.5000  0.5000  0.5000  2 S 3.01, 4 Te 3.20
Au  0.0396  0.9604  0.2500  2 S 2.43
Au  0.9604  0.0396  0.7500  2 S 2.43
S  0.4669  0.5331  0.2500  2 Au 2.43
S  0.5331  0.4669  0.7500  2 Au 2.43

## Properties
Space group ... Cmcm (63)
E ... -41.2 eV/cell

No. 8
# YTePbAuS2

A geometry-optimized YTePbAuS2 structure (PBE, OQMD via LeMat-Bulk).

a = 7.3400 Å, b = 7.3400 Å, c = 11.1164 Å
α = 90.00°, β = 90.00°, γ = 147.93°
Closest atoms and distances in Å follow each position.
Fractional coordinates of all 12 atoms:
Y  0.0000  0.0000  0.0000  4 S 2.79
Y  0.0000  0.0000  0.5000  4 S 2.79
Te  0.1098  0.8902  0.7500  2 Au 2.81
Te  0.8902  0.1098  0.2500  2 Au 2.81
Pb  0.2056  0.7944  0.2500  4 S 3.13, 2 Au 3.22, 2 Te 3.30
Pb  0.7944  0.2056  0.7500  4 S 3.13, 2 Au 3.22, 2 Te 3.30
Au  0.4715  0.5285  0.7500  2 S 2.52, 2 Te 2.81
Au  0.5285  0.4715  0.2500  2 S 2.52, 2 Te 2.81
S  0.3734  0.6266  0.5607  1 Au 2.52, 2 Y 2.79
S  0.3734  0.6266  0.9393  1 Au 2.52, 2 Y 2.79
S  0.6266  0.3734  0.0607  1 Au 2.52, 2 Y 2.79
S  0.6266  0.3734  0.4393  1 Au 2.52, 2 Y 2.79

## Properties
Spin magnetization ... 0.0 μB per formula unit
Space group ... Cmcm (63)
E ... -60.2 eV/cell

No. 9
# TlPbAuS3

A geometry-optimized TlPbAuS3 structure (PBE, OQMD via LeMat-Bulk).

a = 7.1164 Å, b = 7.1164 Å, c = 11.2639 Å
α = 90.00°, β = 90.00°, γ = 148.30°
Closest atoms and distances in Å follow each position.
Fractional coordinates of all 12 atoms:
Tl  0.2394  0.7607  0.7500  6 S 2.96-2.98
Tl  0.7607  0.2394  0.2500  6 S 2.96-2.98
Pb  0.0000  0.0000  0.0000  6 S 2.96-3.10
Pb  0.0000  0.0000  0.5000  6 S 2.96-3.10
Au  0.4802  0.5198  0.2500  4 S 2.50-2.52
Au  0.5198  0.4802  0.7500  4 S 2.50-2.52
S  0.0955  0.9045  0.2500  2 Au 2.50
S  0.3537  0.6463  0.0870  1 Au 2.52
S  0.3537  0.6463  0.4130  1 Au 2.52
S  0.6463  0.3537  0.5870  1 Au 2.52
S  0.6463  0.3537  0.9130  1 Au 2.52
S  0.9045  0.0955  0.7500  2 Au 2.50

## Properties
Space group ... Cmcm (63)
E ... -43.9 eV/cell

No. 10
# YPbAuS3

A geometry-optimized YPbAuS3 structure (PBE, OQMD via LeMat-Bulk).

a = 11.5641 Å, b = 4.1359 Å, c = 12.6498 Å
α = 90.00°, β = 90.00°, γ = 90.00°
Closest atoms and distances in Å follow each position.
Fractional coordinates of all 24 atoms:
Y  0.0215  0.2500  0.1580  6 S 2.73-2.84
Y  0.4785  0.7500  0.6580  6 S 2.73-2.84
Y  0.5215  0.2500  0.3420  6 S 2.73-2.84
Y  0.9785  0.7500  0.8420  6 S 2.73-2.84
Pb  0.1668  0.2500  0.5626  3 S 2.77-2.80
Pb  0.3332  0.7500  0.0626  3 S 2.77-2.80
Pb  0.6668  0.2500  0.9374  3 S 2.77-2.80
Pb  0.8332  0.7500  0.4374  3 S 2.77-2.80
Au  0.2137  0.7500  0.3768  2 S 2.34-2.35
Au  0.2863  0.2500  0.8768  2 S 2.34-2.35
Au  0.7137  0.7500  0.1232  2 S 2.34-2.35
Au  0.7863  0.2500  0.6232  2 S 2.34-2.35
S  0.0273  0.7500  0.3048  1 Au 2.34
S  0.0974  0.2500  0.9443  1 Au 2.35
S  0.2452  0.7500  0.6895  1 Y 2.73, 2 Pb 2.77
S  0.2548  0.2500  0.1895  1 Y 2.73, 2 Pb 2.77
S  0.4026  0.7500  0.4443  1 Au 2.35
S  0.4727  0.2500  0.8048  1 Au 2.34
S  0.5273  0.7500  0.1952  1 Au 2.34
S  0.5974  0.2500  0.5557  1 Au 2.35
S  0.7452  0.7500  0.8105  1 Y 2.73, 2 Pb 2.77
S  0.7548  0.2500  0.3105  1 Y 2.73, 2 Pb 2.77
S  0.9026  0.7500  0.0557  1 Au 2.35
S  0.9727  0.2500  0.6952  1 Au 2.34

## Properties
Spin magnetization ... 0.0 μB per formula unit
Space group ... Pnma (62)
E ... -127.2 eV/cell
ΔE to the lowest computed polymorph ... 0 meV/atom